Ac7SmTm2: optimized geometry, PBE-GGA.

The energy of formation from the pure elements comes out at 0.627 eV per atom. The value obtained for the total energy is -3.615 eV/atom. The density of states at the Fermi level is 27.3 states/eV per cell.

It has space group Cmmm (No. 65), with a = 10.147 Å, b = 16.378 Å, c = 6.126 Å, α = 90.00°, β = 90.00° and γ = 90.00°. The asymmetric unit holds Ac at (0.000, 0.000, 0.000), Ac at (0.000, 0.258, 0.500), Ac at (0.185, 0.375, 0.000), Sm at (0.000, 0.500, 0.500) and Tm at (0.000, 0.202, 0.000).


Ac8Sm2Tm3: optimized geometry, PBE-GGA.

The energy of formation from the pure elements comes out at 0.228 eV per atom. The value obtained for the total energy is -4.058 eV/atom. The density of states at the Fermi level is 35.6 states/eV per cell.

It has space group C2/m (No. 12), with a = 20.773 Å, b = 8.492 Å, c = 6.093 Å, α = 90.00°, β = 90.03° and γ = 90.00°. The asymmetric unit holds Ac at (0.104, 0.205, 0.000), Ac at (0.125, 0.500, 0.500), Ac at (0.175, 0.000, 0.501), Sm at (0.237, 0.500, 0.999), Tm at (0.000, 0.201, 0.500) and Tm at (0.000, 0.500, 0.000).


Ac2Sm5Tm4: optimized geometry, PBE-GGA.

The energy of formation from the pure elements comes out at 0.045 eV per atom. The value obtained for the total energy is -4.473 eV/atom. The density of states at the Fermi level is 15.4 states/eV per cell.

It has space group P-1 (No. 2), with a = 6.284 Å, b = 8.152 Å, c = 8.153 Å, α = 107.42°, β = 97.17° and γ = 104.83°. The asymmetric unit holds Ac at (0.140, 0.047, 0.231), Sm at (0.227, 0.415, 0.046), Sm at (0.410, 0.140, 0.685), Sm at (0.500, 0.500, 0.500), Tm at (0.049, 0.674, 0.409) and Tm at (0.318, 0.766, 0.861).


AcSm3Tm6: optimized geometry, PBE-GGA.

The energy of formation from the pure elements comes out at 0.199 eV per atom. The value obtained for the total energy is -4.310 eV/atom. The density of states at the Fermi level is 13.3 states/eV per cell.

It has space group P-1 (No. 2), with a = 6.473 Å, b = 6.503 Å, c = 9.618 Å, α = 90.19°, β = 108.53° and γ = 119.63°. The asymmetric unit holds Ac at (0.000, 0.000, 0.000), Sm at (0.000, 0.500, 0.500), Sm at (0.305, 0.446, 0.313), Tm at (0.125, 0.132, 0.681), Tm at (0.301, 0.648, 0.948) and Tm at (0.450, 0.012, 0.317).


AcSm12Tm2: optimized geometry, PBE-GGA.

The energy of formation from the pure elements comes out at 0.111 eV per atom. The value obtained for the total energy is -4.534 eV/atom. The density of states at the Fermi level is 88.7 states/eV per cell.

It has space group C2/m (No. 12), with a = 7.258 Å, b = 11.409 Å, c = 24.860 Å, α = 90.00°, β = 94.13° and γ = 90.00°. The asymmetric unit holds Ac at (0.249, 0.000, 0.493), Sm at (0.017, 0.250, 0.577), Sm at (0.114, 0.263, 0.945), Sm at (0.124, 0.000, 0.074), Sm at (0.152, 0.500, 0.080), Sm at (0.169, 0.238, 0.170), Sm at (0.200, 0.263, 0.295), Sm at (0.215, 0.000, 0.348), Sm at (0.219, 0.500, 0.365), Tm at (0.058, 0.500, 0.777) and Tm at (0.076, 0.000, 0.776).


AcSm4Tm: optimized geometry, PBE-GGA.

The energy of formation from the pure elements comes out at 0.184 eV per atom. The energy above the most stable polymorph in this dataset comes out at 0.1306 eV/atom. The value obtained for the total energy is -4.392 eV/atom. The density of states at the Fermi level is 38.3 states/eV per cell.

It has space group C2/c (No. 15), with a = 7.099 Å, b = 19.979 Å, c = 5.991 Å, α = 90.00°, β = 90.11° and γ = 90.00°. The asymmetric unit holds Ac at (0.000, 0.054, 0.250), Sm at (0.243, 0.387, 0.250), Sm at (0.244, 0.290, 0.750) and Tm at (0.000, 0.449, 0.750).


Ac2SmTm: optimized geometry, PBE-GGA.

The energy of formation from the pure elements comes out at 0.051 eV per atom. The energy above the most stable polymorph in this dataset comes out at 0.0060 eV/atom. The value obtained for the total energy is -4.301 eV/atom. The density of states at the Fermi level is 6.0 states/eV per cell.

It has space group P4/mmm (No. 123), with a = 3.886 Å, b = 3.886 Å, c = 10.028 Å, α = 90.00°, β = 90.00° and γ = 90.00°. The asymmetric unit holds Ac at (0.000, 0.000, 0.244), Sm at (0.500, 0.500, 0.500) and Tm at (0.500, 0.500, 0.000).


Ac3Sm6Tm: optimized geometry, PBE-GGA.

The energy of formation from the pure elements comes out at 0.369 eV per atom. The value obtained for the total energy is -4.142 eV/atom. The density of states at the Fermi level is 73.8 states/eV per cell.

It has space group R-3 (No. 148, hexagonal axes), with a = 10.1314 Å, b = 10.1314 Å, c = 12.8917 Å, α = 90.00°, β = 90.00° and γ = 120.00°. The asymmetric unit holds Ac at (0.0000, 0.0000, 0.0000), Ac at (0.0000, 0.0000, 0.2576), Sm at (0.0008, 0.6756, 0.5769) and Tm at (0.0000, 0.0000, 0.5000).


AcSmTm: optimized geometry, PBE-GGA.

The energy of formation from the pure elements comes out at 0.140 eV per atom. The energy above the most stable polymorph in this dataset comes out at 0.0786 eV/atom. The value obtained for the total energy is -4.293 eV/atom. The density of states at the Fermi level is 4.3 states/eV per cell.

It has space group P-6m2 (No. 187), with a = 5.8824 Å, b = 5.8824 Å, c = 3.5864 Å, α = 90.00°, β = 90.00° and γ = 120.00°. The asymmetric unit holds Ac at (0.0000, 0.0000, 0.0000), Sm at (0.6667, 0.3333, 0.5000) and Tm at (0.3333, 0.6667, 0.0000).


AcSm12Tm7: optimized geometry, PBE-GGA.

The energy of formation from the pure elements comes out at 0.658 eV per atom. The energy above the most stable polymorph in this dataset comes out at 0.4275 eV/atom. The value obtained for the total energy is -3.944 eV/atom. The density of states at the Fermi level is 58.0 states/eV per cell.

It has space group Im-3 (No. 204), with a = 11.536 Å, b = 11.536 Å, c = 11.536 Å, α = 90.00°, β = 90.00° and γ = 90.00°. The asymmetric unit holds Ac at (0.000, 0.000, 0.000), Sm at (0.000, 0.270, 0.271), Tm at (0.000, 0.000, 0.500) and Tm at (0.250, 0.250, 0.250).


AcSm2Tm: optimized geometry, PBE-GGA.

The energy of formation from the pure elements comes out at 0.123 eV per atom. The energy above the most stable polymorph in this dataset comes out at 0.0777 eV/atom. The value obtained for the total energy is -4.382 eV/atom. The density of states at the Fermi level is 15.6 states/eV per cell.

It has space group I-4m2 (No. 119), with a = 6.045 Å, b = 6.045 Å, c = 7.782 Å, α = 90.00°, β = 90.00° and γ = 90.00°. The asymmetric unit holds Ac at (0.000, 0.000, 0.000), Sm at (0.000, 0.000, 0.500), Sm at (0.000, 0.500, 0.750) and Tm at (0.000, 0.500, 0.250).


Ac3Sm2Tm: optimized geometry, PBE-GGA.

The energy of formation from the pure elements comes out at 0.069 eV per atom. The value obtained for the total energy is -4.304 eV/atom. The density of states at the Fermi level is 43.9 states/eV per cell.

It has space group C2/c (No. 15), with a = 10.797 Å, b = 7.558 Å, c = 12.563 Å, α = 90.00°, β = 115.42° and γ = 90.00°. The asymmetric unit holds Ac at (0.000, 0.125, 0.250), Ac at (0.166, 0.375, 0.083), Sm at (0.167, 0.125, 0.585) and Tm at (0.000, 0.375, 0.750).


- Which value of energy of formation from the pure elements does entry 6 give?
  0.184 eV per atom


- Look up the energy of formation from the pure elements of the eighth one.
  0.369 eV per atom